# 1
A plane-wave DFT calculation with PBE was carried out for crystalline SrInH at its relaxed geometry.

Unit cell a=4.0898 b=6.8213 c=5.4716 alpha=95.64 beta=89.99 gamma=107.51
Last column: nearest neighbours and their distance in Å.
Fractional coordinates of all 6 atoms:
H1 0.3151 0.1302 0.5086  1 In 2.01
H2 0.6849 0.8698 0.4914  1 In 2.01
Sr1 0.8541 0.2084 0.7494  3 H 2.46-2.49
Sr2 0.1459 0.7916 0.2506  3 H 2.46-2.49
In1 0.4212 0.3426 0.2661  1 H 2.01
In2 0.5788 0.6574 0.7339  1 H 2.01

## Properties
DFT total energy   -17.67 eV per cell
Density of states at the Fermi level   0.232 states/eV per atom
M_tot   0.00 μB per formula unit
Space group   P-1 (2)


# 2
A plane-wave DFT calculation with PBE was carried out for crystalline Sr2TaInH at its relaxed geometry.

Unit cell a=6.4660 b=3.6977 c=6.4660 alpha=90.00 beta=90.00 gamma=90.00
Last column: nearest neighbours and their distance in Å.
Fractional coordinates of all 5 atoms:
In1 0.0000 0.0000 0.0000  2 H 1.85
Ta1 0.5000 0.5000 0.5000  2 Ta 3.70, 8 Sr 3.72
Sr1 0.0000 0.0000 0.5000  2 In 3.23
Sr2 0.5000 0.0000 0.0000  2 In 3.23
H1 0.0000 0.5000 0.0000  2 In 1.85

## Properties
DFT total energy   -16.13 eV per cell
Density of states at the Fermi level   1.010 states/eV per atom
M_tot   2.92 μB per formula unit
Space group   P4/mmm (123)


# 3
A plane-wave DFT calculation with PBE was carried out for crystalline SrTiInH2 at its relaxed geometry.

Unit cell a=4.2969 b=6.2761 c=4.2969 alpha=90.00 beta=90.00 gamma=90.00
Last column: nearest neighbours and their distance in Å.
Fractional coordinates of all 5 atoms:
H1 0.5000 0.0000 0.0000  2 Ti 2.15
H2 0.0000 0.0000 0.5000  2 Ti 2.15
In1 0.5000 0.5000 0.5000  4 Sr 3.04
Sr1 0.0000 0.5000 0.0000  4 In 3.04, 2 Ti 3.14
Ti1 0.0000 0.0000 0.0000  4 H 2.15

## Properties
DFT total energy   -15.63 eV per cell
Density of states at the Fermi level   0.927 states/eV per atom
M_tot   1.96 μB per formula unit
Space group   P4/mmm (123)


# 4
A plane-wave DFT calculation with PBE was carried out for crystalline SrTl2InH at its relaxed geometry.

Unit cell a=5.0922 b=5.0922 c=4.8535 alpha=90.00 beta=90.00 gamma=90.00
Last column: nearest neighbours and their distance in Å.
Fractional coordinates of all 5 atoms:
In1 0.5000 0.5000 0.5000  8 Tl 3.52, 4 Sr 3.60
Sr1 0.0000 0.0000 0.5000  2 H 2.43
Tl1 0.0000 0.5000 0.0000  2 H 2.55
Tl2 0.5000 0.0000 0.0000  2 H 2.55
H1 0.0000 0.0000 0.0000  2 Sr 2.43, 4 Tl 2.55

## Properties
DFT total energy   -13.25 eV per cell
Density of states at the Fermi level   0.253 states/eV per atom
M_tot   0.00 μB per formula unit
Space group   P4/mmm (123)


# 5
A plane-wave DFT calculation with PBE was carried out for crystalline Ta2InH at its relaxed geometry.

Unit cell a=3.2582 b=3.2582 c=7.1284 alpha=76.79 beta=76.79 gamma=60.00
Last column: nearest neighbours and their distance in Å.
Fractional coordinates of all 4 atoms:
In1 0.5000 0.5000 0.5000  6 Ta 3.08, 6 In 3.26
Ta1 0.7150 0.7150 0.8549  3 H 2.13
Ta2 0.2850 0.2850 0.1451  3 H 2.13
H1 0.0000 0.0000 0.0000  6 Ta 2.13

## Properties
DFT total energy   -28.92 eV per cell
Density of states at the Fermi level   1.093 states/eV per atom
M_tot   0.00 μB per formula unit
Space group   R-3m (166)


# 6
A plane-wave DFT calculation with PBE was carried out for crystalline TaInH2 at its relaxed geometry.

Unit cell a=4.5879 b=4.5879 c=5.7154 alpha=66.34 beta=66.34 gamma=90.00
Last column: nearest neighbours and their distance in Å.
Fractional coordinates of all 8 atoms:
Ta1 0.7500 0.2500 0.5000  4 H 1.81
Ta2 0.0000 0.0000 0.0000  4 H 1.81
In1 0.2500 0.7500 0.5000  4 H 2.25
In2 0.5000 0.5000 0.0000  4 H 2.25
H1 0.0406 0.6250 0.2500  2 Ta 1.81
H2 0.7094 0.1250 0.2500  2 Ta 1.81
H3 0.8750 0.9594 0.7500  2 Ta 1.81
H4 0.3750 0.2906 0.7500  2 Ta 1.81

## Properties
DFT total energy   -40.05 eV per cell
Density of states at the Fermi level   0.310 states/eV per atom
M_tot   0.00 μB per formula unit
Space group   I-42d (122)


# 7
A plane-wave DFT calculation with PBE was carried out for crystalline Ta2InH at its relaxed geometry.

Unit cell a=4.5433 b=4.5433 c=4.5433 alpha=60.00 beta=60.00 gamma=60.00
Last column: nearest neighbours and their distance in Å.
Fractional coordinates of all 4 atoms:
Ta1 0.2500 0.2500 0.2500  4 In 2.78, 4 H 2.78
Ta2 0.7500 0.7500 0.7500  4 In 2.78, 4 H 2.78
H1 0.0000 0.0000 0.0000  8 Ta 2.78
In1 0.5000 0.5000 0.5000  8 Ta 2.78

## Properties
DFT total energy   -26.00 eV per cell
Density of states at the Fermi level   0.676 states/eV per atom
M_tot   0.00 μB per formula unit
Space group   Fm-3m (225)


# 8
A plane-wave DFT calculation with PBE was carried out for crystalline TaInH at its relaxed geometry.

Unit cell a=4.7032 b=3.2513 c=3.2513 alpha=120.00 beta=90.00 gamma=90.00
Last column: nearest neighbours and their distance in Å.
Fractional coordinates of all 3 atoms:
H1 0.1496 0.0000 0.0000  3 Ta 1.88
In1 0.6735 0.6667 0.3333  6 H 2.92-3.10, 6 Ta 3.00-3.02, 6 In 3.25
Ta1 0.1769 0.3333 0.6667  3 H 1.88

## Properties
DFT total energy   -17.87 eV per cell
Density of states at the Fermi level   0.425 states/eV per atom
M_tot   0.00 μB per formula unit
Space group   P3m1 (156)